A plane-wave DFT calculation with PBE+U was carried out for KFeTeO4 after structural relaxation.

The electronic total energy comes out at -5.5421 eV per atom. The calculation puts the density of states at the Fermi level at 0.0 states/eV per cell.

The structure belongs to space group P2_1/m (No. 11); the cell edges are 6.798, 6.077 and 7.214 Å and the angles 90.00°, 114.48° and 90.00°. The inequivalent atoms are K at (0.206, 0.250, 0.010), Fe at (0.483, 0.250, 0.698), Te at (0.260, 0.750, 0.552), O at (0.219, 0.750, 0.232), O at (0.336, 0.000, 0.744) and O at (0.442, 0.250, 0.416).